BTe2N2: relaxed, PBE.

Cell: 5.2646 5.2646 2.8371 Å, 90.00 90.00 90.00°
Fractional positions:
B (0.0000, 0.0000, 0.0000)
Te (0.0000, 0.5000, 0.0000)
Te (0.5000, 0.0000, 0.0000)
N (0.0000, 0.0000, 0.5000)
N (0.5000, 0.5000, 0.5000)

Calculated values
Energy above the lowest structure with this stoichiometry   0.00 eV/f.u.
Uncorrected energy   -4.653 eV/atom
Formation energy from raw total energies   1.27 eV/atom

***

BTe2N2: relaxed, PBE.

Cell: 3.8548 3.8548 6.8996 Å, 90.00 90.00 90.00°
Fractional positions:
B (0.0000, 0.0000, 0.0000)
Te (0.5000, 0.5000, 0.0000)
Te (0.5000, 0.5000, 0.5000)
N (0.0000, 0.5000, 0.5000)
N (0.5000, 0.0000, 0.5000)

Calculated values
Energy above the lowest structure with this stoichiometry   3.42 eV/f.u.
Uncorrected energy   -3.969 eV/atom
Formation energy from raw total energies   1.95 eV/atom

***

B2TeN2: relaxed, PBE.

Cell: 2.8515 2.8515 19.0376 Å, 90.00 90.00 90.00°
Fractional positions:
B (0.0000, 0.5000, 0.2500)
B (0.0000, 0.5000, 0.7500)
B (0.5000, 0.0000, 0.2500)
B (0.5000, 0.0000, 0.7500)
Te (0.0000, 0.0000, 0.0000)
Te (0.5000, 0.5000, 0.5000)
N (0.0000, 0.0000, 0.2874)
N (0.0000, 0.0000, 0.7126)
N (0.5000, 0.5000, 0.2126)
N (0.5000, 0.5000, 0.7874)

Calculated values
Energy above the lowest structure with this stoichiometry   0.91 eV/f.u.
Uncorrected energy   -6.692 eV/atom
Formation energy from raw total energies   -0.06 eV/atom

***

B2TeN: relaxed, PBE.

Cell: 4.8527 4.8527 7.4921 Å, 90.00 90.00 90.00°
Fractional positions:
B (0.1299, 0.2500, 0.1250)
B (0.2500, 0.6299, 0.3750)
B (0.2500, 0.8701, 0.8750)
B (0.3701, 0.2500, 0.6250)
B (0.6299, 0.7500, 0.6250)
B (0.7500, 0.1299, 0.8750)
B (0.7500, 0.3701, 0.3750)
B (0.8701, 0.7500, 0.1250)
Te (0.0000, 0.0000, 0.5000)
Te (0.0000, 0.5000, 0.7500)
Te (0.5000, 0.0000, 0.2500)
Te (0.5000, 0.5000, 0.0000)
N (0.0000, 0.0000, 0.0000)
N (0.0000, 0.5000, 0.2500)
N (0.5000, 0.0000, 0.7500)
N (0.5000, 0.5000, 0.5000)

Calculated values
Energy above the lowest structure with this stoichiometry   0.00 eV/f.u.
Uncorrected energy   -5.610 eV/atom
Formation energy from raw total energies   0.60 eV/atom